Entry 1:
Computed, not measured: Ce5ScSb4 after structural relaxation at the PBE-GGA level of DFT.

Computed properties:
Total energy, eV/atom: -5.816
Crystal system: monoclinic
Space group: C2/m (12)

The structure in POSCAR format:
```
Ce5ScSb4
1.0
9.383 -2.137 0.000
9.383 2.137 0.000
-1.987 0.000 8.281
Ce Sc Sb
5 1 4
Cartesian
0.000 0.000 0.000
5.816 0.000 1.197
4.884 0.000 5.686
11.895 0.000 2.595
10.963 0.000 7.084
-0.994 0.000 4.141
1.893 0.000 4.799
8.785 0.000 2.171
7.994 0.000 6.110
14.887 0.000 3.482
```



Entry 2:
Computed, not measured: Ce5ScSb5 after structural relaxation at the PBE-GGA level of DFT.

Computed properties:
Total energy, eV/atom: -5.929
Crystal system: monoclinic
Space group: C2/m (12)

The structure in POSCAR format:
```
Ce5ScSb5
1.0
6.973 -3.130 0.000
6.973 3.130 0.000
-2.848 0.000 8.300
Ce Sc Sb
5 1 5
Cartesian
0.000 0.000 0.000
4.109 0.000 1.376
2.805 0.000 5.607
8.294 0.000 2.693
6.990 0.000 6.925
-1.424 0.000 4.150
-0.092 0.000 6.823
1.306 0.000 2.852
5.550 0.000 4.150
9.793 0.000 5.448
11.191 0.000 1.478
```



Entry 3:
Computed, not measured: CeScSb after structural relaxation at the PBE-GGA level of DFT.

Computed properties:
Distance to the lowest polymorph of the same formula, eV/atom: 0.0000
Crystal system: tetragonal
Space group: I4/mmm (139)

The structure in POSCAR format:
```
CeScSb
1.0
-2.236 2.236 8.249
2.236 -2.236 8.249
2.236 2.236 -8.249
Ce Sc Sb
2 2 2
Cartesian
0.000 0.000 2.870
0.000 0.000 13.628
2.236 0.000 0.000
0.000 2.236 0.000
0.000 0.000 6.148
0.000 0.000 10.350
```



Entry 4:
Computed, not measured: CeSc3Sb2 after structural relaxation at the PBE-GGA level of DFT.

Computed properties:
Total energy, eV/atom: -6.158
Crystal system: monoclinic
Space group: C2/m (12)

The structure in POSCAR format:
```
CeSc3Sb2
1.0
8.893 -2.145 0.000
8.893 2.145 0.000
-3.448 0.000 8.111
Ce Sc Sb
2 6 4
Cartesian
1.508 0.000 1.052
12.830 0.000 7.060
-1.116 0.000 5.473
5.132 0.000 0.849
4.523 0.000 4.176
9.815 0.000 3.935
9.206 0.000 7.262
15.454 0.000 2.639
1.898 0.000 5.810
8.046 0.000 1.425
6.292 0.000 6.687
12.440 0.000 2.301
```



Entry 5:
Computed, not measured: Ce2ScSb4 after structural relaxation at the PBE-GGA level of DFT.

Computed properties:
Total energy, eV/atom: -5.713
Crystal system: tetragonal
Space group: P-4m2 (115)

The structure in POSCAR format:
```
Ce2ScSb4
1.0
4.324 0.000 0.000
0.000 4.324 0.000
0.000 0.000 11.267
Ce Sc Sb
2 1 4
Cartesian
0.000 2.162 2.490
2.162 0.000 8.777
0.000 0.000 5.633
0.000 0.000 0.000
0.000 2.162 7.572
2.162 0.000 3.695
2.162 2.162 0.000
```



Entry 6:
Computed, not measured: Ce2ScSb3 after structural relaxation at the PBE-GGA level of DFT.

Computed properties:
Distance to the lowest polymorph of the same formula, eV/atom: 0.0105
Crystal system: orthorhombic
Space group: Immm (71)

The structure in POSCAR format:
```
Ce2ScSb3
1.0
-2.194 3.126 6.559
2.194 -3.126 6.559
2.194 3.126 -6.559
Ce Sc Sb
2 1 3
Cartesian
0.000 0.000 2.235
0.000 0.000 10.884
0.000 0.000 6.559
2.194 0.000 0.000
2.194 0.000 4.523
0.000 3.126 2.037
```